Computed, not measured: a relaxed structure of MgZnBr2O at the PBE-GGA level of DFT.

Results
V = 32.84 Å³/atom
total DFT energy (no corrections) = -2.1192 eV/atom
magnetization = 2.0 μB per formula unit

Structure (extended XYZ):
```
5
Lattice="5.070 0.000 0.000 0.000 5.070 0.000 0.000 0.000 6.387" Properties=species:S:1:pos:R:3 pbc="T T T"
Mg 0.000 0.000 0.000
Zn 0.000 0.000 3.194
Br 0.000 2.535 0.000
Br 2.535 0.000 0.000
O 2.535 2.535 3.194
```